# 1
First-principles (PBE) data for a relaxed structure of Sr2UN, as listed in the Alexandria database.

Cell: 3.5435 3.5435 31.1004 Å, 90.00 90.00 120.00°
Last column: nearest neighbours and their distance in Å.
Space group R-3m (No. 166, hexagonal axes)
Symmetry-distinct sites (fractional):
Sr: 0.0000 0.0000 0.1202 (multiplicity 6)  3 N 2.50
U: 0.0000 0.0000 0.0000 (multiplicity 3)  6 U 3.54, 2 Sr 3.74
N: 0.0000 0.0000 0.5000 (multiplicity 3)  6 Sr 2.50

Results
The energy comes out at -5.5390 eV per atom. The value obtained for the raw formation energy is 0.21 eV per atom. As for the total moment: 0.84 μB/atom.

---

# 2
First-principles (PBE) data for a relaxed structure of Sr5UN4, as listed in the Alexandria database.

Cell: 18.8296 3.6749 7.4957 Å, 90.00 103.10 90.00°
Last column: nearest neighbours and their distance in Å.
Space group C2/m (No. 12)
Symmetry-distinct sites (fractional):
Sr: 0.0000 0.0000 0.0000 (multiplicity 2)  4 N 2.89
Sr: 0.1441 0.5000 0.3544 (multiplicity 4)  3 N 2.57-2.65
Sr: 0.1480 0.5000 0.8054 (multiplicity 4)  3 N 2.57-2.72
U: 0.0000 0.0000 0.5000 (multiplicity 2)  2 N 2.07
N: 0.0000 0.5000 0.2979 (multiplicity 4)  2 U 2.38, 1 Sr 2.65
N: 0.1127 0.0000 0.5627 (multiplicity 4)  1 U 2.07

Results
The energy comes out at -6.1219 eV per atom. The value obtained for the raw formation energy is -0.82 eV per atom. As for the total moment: 0.00 μB/atom.

---

# 3
First-principles (PBE) data for a relaxed structure of Sr4UN5, as listed in the Alexandria database.

Cell: 8.2014 8.2014 5.3416 Å, 90.00 90.00 90.00°
Last column: nearest neighbours and their distance in Å.
Space group I4 (No. 79)
Symmetry-distinct sites (fractional):
Sr: 0.1021 0.2958 0.0000 (multiplicity 8)  5 N 2.59-2.72
U: 0.0000 0.0000 0.4828 (multiplicity 2)  5 N 2.14-2.22
N: 0.0000 0.0000 0.0669 (multiplicity 2)  1 U 2.22
N: 0.0792 0.2486 0.5031 (multiplicity 8)  1 U 2.14

Results
The energy comes out at -6.8900 eV per atom. The value obtained for the raw formation energy is -0.93 eV per atom. As for the total moment: 0.10 μB/atom.

---

# 4
First-principles (PBE) data for a relaxed structure of Sr2UN4, as listed in the Alexandria database.

Cell: 7.2503 7.2503 8.3184 Å, 90.00 90.00 90.00°
Last column: nearest neighbours and their distance in Å.
Space group I-42d (No. 122)
Symmetry-distinct sites (fractional):
Sr: 0.1089 0.7500 0.1250 (multiplicity 8)  4 N 2.50-2.73
U: 0.0000 0.0000 0.5000 (multiplicity 4)  4 N 2.02
N: 0.0603 0.7337 0.4497 (multiplicity 16)  1 U 2.02

Results
The energy comes out at -7.4725 eV per atom. The value obtained for the raw formation energy is -0.62 eV per atom. As for the total moment: 0.00 μB/atom.